1.
Below is HoScNi10 after structural relaxation, with properties calculated at the PBE level.

Output
* VASP energy: -6.0339 eV/atom

Unit cell a=3.9651 b=4.8037 c=8.3173 alpha=90.00 beta=90.00 gamma=90.00
Closest atoms and distances in Å follow each position.
Space group Pmmm (No. 47)
Unique sites:
Ho1 0.0000 0.0000 0.0000  18 Ni 2.80-3.13
Sc1 0.0000 0.5000 0.5000  6 Ni 2.71-2.75
Ni1 0.0000 0.0000 0.3392  7 Ni 2.39-2.67
Ni2 0.0000 0.5000 0.1740  6 Ni 2.41-2.45
Ni3 0.5000 0.0000 0.5000  8 Ni 2.38-2.39
Ni4 0.5000 0.2509 0.2529  8 Ni 2.38-2.43
Ni5 0.5000 0.5000 0.0000  8 Ni 2.42-2.45

2.
Below is LiBe3Pt after structural relaxation, with properties calculated at the PBE level.

Output
* excess energy over the best structure of this formula in the dataset: 679.4 meV/atom

Unit cell a=3.7498 b=3.7498 c=3.7498 alpha=90.00 beta=90.00 gamma=90.00
Closest atoms and distances in Å follow each position.
Space group Pm-3m (No. 221)
Unique sites:
Li1 0.0000 0.0000 0.0000  6 Be 1.87
Be1 0.0000 0.0000 0.5000  2 Li 1.87
Pt1 0.5000 0.5000 0.5000  12 Be 2.65

3.
Below is Al3Pt after structural relaxation, with properties calculated at the PBE level.

Output
* VASP energy: -4.8407 eV/atom

Unit cell a=4.9807 b=4.9807 c=4.9807 alpha=90.00 beta=90.00 gamma=90.00
Closest atoms and distances in Å follow each position.
Space group Pm-3n (No. 223)
Unique sites:
Al1 0.0000 0.2500 0.5000  2 Al 2.49, 4 Pt 2.78
Pt1 0.0000 0.0000 0.0000  12 Al 2.78

4.
Below is Li3Ac2As4Pd after structural relaxation, with properties calculated at the PBE level.

Output
* VASP energy: -4.7219 eV/atom

Unit cell a=4.4139 b=4.4139 c=10.4598 alpha=90.00 beta=90.00 gamma=90.00
Closest atoms and distances in Å follow each position.
Space group P-4m2 (No. 115)
Unique sites:
Li1 0.0000 0.0000 0.0000  4 As 2.65
Li2 0.0000 0.5000 0.6208  5 As 2.50-2.54
Ac1 0.0000 0.5000 0.2456  8 As 3.31-3.46, 6 Li 3.39-3.42, 2 Pd 3.39
As1 0.0000 0.0000 0.5000  4 Li 2.54
As2 0.0000 0.5000 0.8594  3 Li 2.50-2.65, 2 Pd 2.65
As3 0.5000 0.5000 0.5000  4 Li 2.54
Pd1 0.5000 0.5000 0.0000  4 As 2.65

5.
Below is HfCr3P after structural relaxation, with properties calculated at the PBE level.

Output
* excess energy over the best structure of this formula in the dataset: 0.0 meV/atom

Unit cell a=4.2271 b=4.2271 c=4.2271 alpha=90.00 beta=90.00 gamma=90.00
Closest atoms and distances in Å follow each position.
Space group Pm-3m (No. 221)
Unique sites:
Hf1 0.0000 0.0000 0.0000  12 Cr 2.99
Cr1 0.0000 0.5000 0.5000  2 P 2.11
P1 0.5000 0.5000 0.5000  6 Cr 2.11

6.
Below is BeTlCr after structural relaxation, with properties calculated at the PBE level.

Output
* excess energy over the best structure of this formula in the dataset: 74.4 meV/atom

Unit cell a=3.0664 b=3.0664 c=10.1271 alpha=90.00 beta=90.00 gamma=90.00
Closest atoms and distances in Å follow each position.
Space group I4mm (No. 107)
Unique sites:
Be1 0.0000 0.0000 0.0000  4 Cr 2.40
Tl1 0.0000 0.0000 0.6933  5 Be 2.92-3.11, 5 Cr 3.00, 4 Tl 3.07
Cr1 0.0000 0.0000 0.3974  4 Be 2.40

It is found that the magnetic moment values, taken in the order of the records, are 2.7 0.0 0.0 0.0 0.0 5.3 μB per cell.